Compound: MgTa2Ni
Source: Alexandria via LeMat-Bulk
Functional: GGA-PBE
Structure: optimized geometry

Output
D(E_F) ... 5.05 states/eV/cell
Final energy ... -7.5723 eV per atom
Energy relative to the elements ... 0.198 eV/atom
Space-group type ... P4/mmm (123)

Unit cell a=3.955 b=3.955 c=4.190 alpha=90.00 beta=90.00 gamma=90.00
Element x y z (fractional)
Mg1 0.000 0.000 0.000
Ta1 0.000 0.500 0.500
Ta2 0.500 0.000 0.500
Ni1 0.500 0.500 0.000

***

Compound: Ta5Ga3
Source: Alexandria via LeMat-Bulk
Functional: GGA-PBE
Structure: optimized geometry

Output
D(E_F) ... 9.03 states/eV/cell
Final energy ... -8.7937 eV per atom
Energy relative to the elements ... -0.251 eV/atom
Space-group type ... I4/mcm (140)

Unit cell a=7.630 b=7.630 c=7.630 alpha=127.47 beta=127.47 gamma=77.48
Element x y z (fractional)
Ta1 0.000 0.000 0.000
Ta2 0.006 0.506 0.823
Ta3 0.182 0.006 0.500
Ta4 0.318 0.818 0.823
Ta5 0.494 0.318 0.500
Ta6 0.500 0.500 0.000
Ta7 0.506 0.682 0.500
Ta8 0.682 0.182 0.177
Ta9 0.818 0.994 0.500
Ta10 0.994 0.494 0.177
Ga1 0.134 0.366 0.500
Ga2 0.250 0.250 0.000
Ga3 0.366 0.866 0.231
Ga4 0.634 0.134 0.769
Ga5 0.750 0.750 0.000
Ga6 0.866 0.634 0.500

***

Compound: Nd5Si2N
Source: Alexandria via LeMat-Bulk
Functional: GGA-PBE
Structure: optimized geometry

Output
D(E_F) ... 14.37 states/eV/cell
Formation energy (no corrections) ... -0.456 eV/atom
Final energy ... -5.8322 eV per atom
Space-group type ... Cmcm (63)

Unit cell a=6.815 b=6.815 c=13.130 alpha=90.00 beta=90.00 gamma=130.03
Element x y z (fractional)
Nd1 0.056 0.944 0.627
Nd2 0.056 0.944 0.873
Nd3 0.297 0.703 0.250
Nd4 0.338 0.662 0.604
Nd5 0.338 0.662 0.896
Nd6 0.662 0.338 0.104
Nd7 0.662 0.338 0.396
Nd8 0.703 0.297 0.750
Nd9 0.944 0.056 0.127
Nd10 0.944 0.056 0.373
Si1 0.174 0.826 0.066
Si2 0.174 0.826 0.434
Si3 0.826 0.174 0.566
Si4 0.826 0.174 0.934
N1 0.210 0.790 0.750
N2 0.790 0.210 0.250

***

What did the first record say?
Compound: MgTa2Ni
Source: Alexandria via LeMat-Bulk
Functional: GGA-PBE
Structure: optimized geometry

Output
D(E_F) ... 5.05 states/eV/cell
Final energy ... -7.5723 eV per atom
Energy relative to the elements ... 0.198 eV/atom
Space-group type ... P4/mmm (123)

Unit cell a=3.955 b=3.955 c=4.190 alpha=90.00 beta=90.00 gamma=90.00
Element x y z (fractional)
Mg1 0.000 0.000 0.000
Ta1 0.000 0.500 0.500
Ta2 0.500 0.000 0.500
Ni1 0.500 0.500 0.000